# CsMoO2F GGA+U relaxed
data_CsMoO2F
_cell_length_a 4.1210
_cell_length_b 4.1210
_cell_length_c 4.5554
_cell_angle_alpha 90.00
_cell_angle_beta 90.00
_cell_angle_gamma 90.00
_symmetry_space_group_name_H-M 'P 4/m m m'
_symmetry_Int_Tables_number 123
_symmetry_space_group_name_Hall '-P 4 2'
loop_
_atom_site_label
_atom_site_fract_x
_atom_site_fract_y
_atom_site_fract_z
Cs1 0.0000 0.0000 0.0000
Mo1 0.5000 0.5000 0.5000
O1 0.0000 0.5000 0.5000
F1 0.5000 0.5000 0.0000
# D(E_F), states/eV/atom: 0.2650
# Uncorrected energy, eV/atom: -5.7786
# Total magnetization, μB per cell: 2.00